No. 1
First-principles (PBE) data for a relaxed structure of ReSiOs3, as listed in Alexandria via LeMat-Bulk.

- Relative energy among the computed polymorphs: 0.000 eV/atom
- Magnetization: 2.0 Bohr magnetons per cell
- V: 16.20 Å³/atom

```
ReSiOs3
1.0
-0.169 0.241 -4.316
4.264 -0.700 -0.206
-0.709 -4.263 -0.210
Re Si Os
1 1 3
direct
0.500 0.500 0.500
0.000 0.000 0.000
0.000 0.500 0.000
0.000 0.000 0.500
0.500 0.000 0.000
```

---

No. 2
First-principles (PBE) data for a relaxed structure of Cu2RuBr, as listed in Alexandria via LeMat-Bulk.

- Relative energy among the computed polymorphs: 0.058 eV/atom
- Magnetization: 1.3 Bohr magnetons per cell
- V: 16.38 Å³/atom

```
Cu2RuBr
1.0
3.016 0.000 0.000
0.000 2.867 -0.018
0.000 0.050 7.578
Br Cu Ru
1 2 1
direct
0.500 0.750 0.750
0.000 0.750 0.037
0.000 0.750 0.463
0.500 0.250 0.250
```

---

No. 3
First-principles (PBE) data for a relaxed structure of MgGeOF2, as listed in Alexandria via LeMat-Bulk.

- Relative energy among the computed polymorphs: 0.000 eV/atom
- Magnetization: 0.0 Bohr magnetons per cell
- V: 12.13 Å³/atom

```
MgGeOF2
1.0
3.781 0.000 0.000
0.000 3.781 0.000
0.000 0.000 4.241
Ge Mg O F
1 1 1 2
direct
0.500 0.500 0.500
0.000 0.000 0.000
0.000 0.000 0.500
0.000 0.500 0.000
0.500 0.000 0.000
```